Computed, not measured: crystalline Ca4Al6WO16 at its relaxed geometry at the GGA+U level of DFT.

It has space group Fmm2 (No. 42), with a = 10.672 Å, b = 11.744 Å, c = 10.471 Å, α = 90.00°, β = 90.00° and γ = 90.00°. The inequivalent atoms are Ca at (0.000, 0.194, 0.000), Ca at (0.191, 0.000, 0.336), Al at (0.175, 0.150, 0.614), Al at (0.250, 0.250, 0.335), W at (0.000, 0.000, 0.759), O at (0.000, 0.126, 0.632), O at (0.124, 0.110, 0.843), O at (0.156, 0.171, 0.446), O at (0.164, 0.188, 0.178) and O at (0.192, 0.000, 0.640).

The total energy comes out at -760.453 eV per cell.